A plane-wave DFT calculation with PBE was carried out for a relaxed structure of Tl3Ag3AuO8.

## Properties
formation energy from raw total energies: -266 meV/atom
space group: No. 12

Cell lengths 6.8279, 6.8242, 7.0285 Å; angles 119.18, 90.00, 120.02 degrees
Last column: nearest neighbours and their distance in Å.
Positions (direct):
Ag 0.5000 0.5000 0.0000  6 O 2.53-2.63
Ag 0.0000 0.5000 0.0000  6 O 2.53-2.63
Ag 0.0000 0.0000 0.0000  6 O 2.54-2.62
O 0.7866 0.5731 0.2981  1 Au 2.08
O 0.7755 0.9896 0.7024  1 Au 2.09
O 0.7342 0.4683 0.7009  3 Tl 2.29
O 0.7859 0.0104 0.2976  1 Au 2.09
O 0.2245 0.0104 0.2976  1 Au 2.09
O 0.2134 0.4269 0.7019  1 Au 2.08
O 0.2658 0.5317 0.2991  3 Tl 2.29
O 0.2141 0.9896 0.7024  1 Au 2.09
Au 0.0000 0.0000 0.5000  6 O 2.08-2.09
Tl 0.0000 0.5000 0.5000  6 O 2.29-2.41
Tl 0.5000 0.0000 0.5000  6 O 2.29-2.41
Tl 0.5000 0.5000 0.5000  6 O 2.29-2.41

---

A plane-wave DFT calculation with PBE was carried out for a relaxed structure of TmAg2AuO4.

## Properties
formation energy from raw total energies: -1027 meV/atom
space group: No. 82

Cell lengths 5.3407, 5.3407, 5.3407 Å; angles 106.21, 111.13, 111.13 degrees
Last column: nearest neighbours and their distance in Å.
Positions (direct):
Tm 0.5000 0.2500 0.7500  4 O 2.18
Ag 0.5000 0.7500 0.2500  4 O 2.40
Ag 0.0000 0.0000 0.0000  4 O 2.35
O 0.4651 0.8176 0.6976  1 Au 2.06, 1 Tm 2.18
O 0.8800 0.6474 0.1824  1 Au 2.06, 1 Tm 2.18
O 0.5349 0.2326 0.3526  1 Au 2.06, 1 Tm 2.18
O 0.1200 0.3024 0.7674  1 Au 2.06, 1 Tm 2.18
Au 0.0000 0.5000 0.5000  4 O 2.06

---

A plane-wave DFT calculation with PBE was carried out for a relaxed structure of Tm2Ag2AuO6.

## Properties
formation energy from raw total energies: -1562 meV/atom
space group: No. 12

Cell lengths 5.9131, 5.9131, 6.3779 Å; angles 85.56, 85.56, 121.55 degrees
Last column: nearest neighbours and their distance in Å.
Positions (direct):
O 0.3384 0.3384 0.3459  1 Au 2.04, 2 Tm 2.21
O 0.0373 0.7015 0.3243  1 Ag 2.09, 2 Tm 2.25-2.28, 1 Au 2.26
O 0.6616 0.6616 0.6541  1 Au 2.04, 2 Tm 2.21
O 0.7015 0.0373 0.3243  1 Ag 2.09, 2 Tm 2.25-2.28, 1 Au 2.26
O 0.9627 0.2985 0.6757  1 Ag 2.09, 2 Tm 2.25-2.28, 1 Au 2.26
O 0.2985 0.9627 0.6757  1 Ag 2.09, 2 Tm 2.25-2.28, 1 Au 2.26
Tm 0.6613 0.3387 0.5000  6 O 2.21-2.28
Tm 0.3387 0.6613 0.5000  6 O 2.21-2.28
Au 0.0000 0.0000 0.5000  6 O 2.04-2.26
Ag 0.1623 0.8377 0.0000  2 O 2.09
Ag 0.8377 0.1623 0.0000  2 O 2.09

---

A plane-wave DFT calculation with PBE was carried out for a relaxed structure of AgOs2Au.

## Properties
ΔH_f (0 K): 0.763 eV/atom
space group: No. 119
excess energy over the best structure of this formula in the dataset: 445 meV/atom

Cell lengths 4.8208, 4.8208, 4.8208 Å; angles 130.78, 130.78, 72.16 degrees
Last column: nearest neighbours and their distance in Å.
Positions (direct):
Os 0.0000 0.0000 0.0000  4 Au 2.80, 4 Os 2.80, 4 Ag 2.84
Os 0.2500 0.7500 0.5000  4 Os 2.80, 4 Ag 2.80, 4 Au 2.84
Au 0.7500 0.2500 0.5000  8 Os 2.80-2.84, 4 Ag 2.80
Ag 0.5000 0.5000 0.0000  8 Os 2.80-2.84, 4 Au 2.80

---

A plane-wave DFT calculation with PBE was carried out for a relaxed structure of Ag2OsAu.

## Properties
ΔH_f (0 K): 0.382 eV/atom
space group: No. 166
excess energy over the best structure of this formula in the dataset: 0 meV/atom

Cell lengths 9.9892, 9.9892, 9.9892 Å; angles 16.10, 16.10, 16.10 degrees
Last column: nearest neighbours and their distance in Å.
Positions (direct):
Ag 0.0026 0.0026 0.0026  6 Ag 2.80, 3 Os 2.88, 3 Au 3.01
Ag 0.4974 0.4974 0.4974  6 Ag 2.80, 3 Os 2.88, 3 Au 3.01
Os 0.7500 0.7500 0.7500  6 Os 2.80, 6 Ag 2.88
Au 0.2500 0.2500 0.2500  6 Au 2.80, 6 Ag 3.01

---

A plane-wave DFT calculation with PBE was carried out for a relaxed structure of Ag2OsAu.

## Properties
ΔH_f (0 K): 0.484 eV/atom
space group: No. 99
excess energy over the best structure of this formula in the dataset: 103 meV/atom

Cell lengths 2.7661, 2.7661, 8.7781 Å; angles 90.00, 90.00, 90.00 degrees
Last column: nearest neighbours and their distance in Å.
Positions (direct):
Os 0.5000 0.5000 0.7493  4 Os 2.77, 4 Au 2.88, 4 Ag 2.90
Ag 0.5000 0.5000 0.2493  8 Ag 2.77-2.98, 4 Au 3.00
Ag 0.0000 0.0000 0.9930  8 Ag 2.77-2.98, 4 Os 2.90
Au 0.0000 0.0000 0.5084  4 Au 2.77, 4 Os 2.88, 4 Ag 3.00

---

Repeat the third record exactly.
A plane-wave DFT calculation with PBE was carried out for a relaxed structure of Tm2Ag2AuO6.

## Properties
formation energy from raw total energies: -1562 meV/atom
space group: No. 12

Cell lengths 5.9131, 5.9131, 6.3779 Å; angles 85.56, 85.56, 121.55 degrees
Last column: nearest neighbours and their distance in Å.
Positions (direct):
O 0.3384 0.3384 0.3459  1 Au 2.04, 2 Tm 2.21
O 0.0373 0.7015 0.3243  1 Ag 2.09, 2 Tm 2.25-2.28, 1 Au 2.26
O 0.6616 0.6616 0.6541  1 Au 2.04, 2 Tm 2.21
O 0.7015 0.0373 0.3243  1 Ag 2.09, 2 Tm 2.25-2.28, 1 Au 2.26
O 0.9627 0.2985 0.6757  1 Ag 2.09, 2 Tm 2.25-2.28, 1 Au 2.26
O 0.2985 0.9627 0.6757  1 Ag 2.09, 2 Tm 2.25-2.28, 1 Au 2.26
Tm 0.6613 0.3387 0.5000  6 O 2.21-2.28
Tm 0.3387 0.6613 0.5000  6 O 2.21-2.28
Au 0.0000 0.0000 0.5000  6 O 2.04-2.26
Ag 0.1623 0.8377 0.0000  2 O 2.09
Ag 0.8377 0.1623 0.0000  2 O 2.09